1.
The following is a DFT calculation (PBE) of Li3VSe4 after structural relaxation.

a b c (Å): 8.1418 7.1437 6.7547
angles (deg): 90.00 90.00 90.00
Fractional coordinates of all 16 atoms:
Li 0.0000 0.1478 0.0000
Li 0.2459 0.3248 0.4909
Li 0.2541 0.6752 0.9909
Li 0.5000 0.8522 0.5000
Li 0.7459 0.6752 0.9909
Li 0.7541 0.3248 0.4909
V 0.0000 0.8221 0.4984
V 0.5000 0.1779 0.9984
Se 0.0000 0.1246 0.6124
Se 0.0000 0.8197 0.1596
Se 0.2329 0.6714 0.6080
Se 0.2671 0.3286 0.1080
Se 0.5000 0.1803 0.6596
Se 0.5000 0.8754 0.1124
Se 0.7329 0.3286 0.1080
Se 0.7671 0.6714 0.6080

Properties
Final energy: -4.5249 eV/atom
Total magnetic moment: 0.00 Bohr magnetons per cell
ΔE_f (raw): -7.40 eV/f.u.



2.
The following is a DFT calculation (PBE) of LiV6Se8 after structural relaxation.

a b c (Å): 9.5200 9.5200 3.3833
angles (deg): 90.00 90.00 120.00
Fractional coordinates of all 15 atoms:
Li 0.0000 0.0000 0.0000
V 0.1075 0.6166 0.2492
V 0.3834 0.4910 0.2492
V 0.4910 0.1075 0.7508
V 0.5090 0.8925 0.2492
V 0.6166 0.5090 0.7508
V 0.8925 0.3834 0.7508
Se 0.0525 0.3329 0.2511
Se 0.2804 0.9475 0.2511
Se 0.3329 0.2804 0.7489
Se 0.3333 0.6667 0.7498
Se 0.6667 0.3333 0.2502
Se 0.6671 0.7196 0.2511
Se 0.7196 0.0525 0.7489
Se 0.9475 0.6671 0.7489

Properties
Excess energy over the best structure of this formula in the dataset: 0.22 eV/f.u.
Final energy: -6.3575 eV/atom
Total magnetic moment: 0.00 Bohr magnetons per cell
ΔE_f (raw): -10.86 eV/f.u.



3.
The following is a DFT calculation (PBE) of LiVSe2 after structural relaxation.

a b c (Å): 4.5770 4.5770 4.5770
angles (deg): 60.00 60.00 60.00
Fractional coordinates of all 4 atoms:
Li 0.0000 0.0000 0.0000
V 0.5000 0.5000 0.5000
Se 0.2500 0.2500 0.2500
Se 0.7500 0.7500 0.7500

Properties
Final energy: -5.0689 eV/atom
Total magnetic moment: 2.14 Bohr magnetons per cell
ΔE_f (raw): -2.27 eV/f.u.



4.
The following is a DFT calculation (PBE) of LiV2Se3 after structural relaxation.

a b c (Å): 6.7953 6.7953 8.6572
angles (deg): 90.00 90.00 144.85
Fractional coordinates of all 12 atoms:
Li 0.1953 0.8047 0.7500
Li 0.8047 0.1953 0.2500
V 0.0000 0.0000 0.0000
V 0.0000 0.0000 0.5000
V 0.4825 0.5175 0.7500
V 0.5175 0.4825 0.2500
Se 0.1149 0.8851 0.2500
Se 0.3776 0.6224 0.0528
Se 0.3776 0.6224 0.4472
Se 0.6224 0.3776 0.5528
Se 0.6224 0.3776 0.9472
Se 0.8851 0.1149 0.7500

Properties
Excess energy over the best structure of this formula in the dataset: 0.00 eV/f.u.
Final energy: -5.8174 eV/atom
Total magnetic moment: 1.37 Bohr magnetons per cell
ΔE_f (raw): -4.30 eV/f.u.



5.
The following is a DFT calculation (PBE) of Li3VSe after structural relaxation.

a b c (Å): 4.8806 4.8806 4.8806
angles (deg): 90.00 90.00 90.00
Fractional coordinates of all 5 atoms:
Li 0.0000 0.0000 0.5000
Li 0.0000 0.5000 0.0000
Li 0.5000 0.0000 0.0000
V 0.0000 0.0000 0.0000
Se 0.5000 0.5000 0.5000

Properties
Excess energy over the best structure of this formula in the dataset: 3.17 eV/f.u.
Final energy: -2.9401 eV/atom
Total magnetic moment: 4.50 Bohr magnetons per cell
ΔE_f (raw): 3.64 eV/f.u.



6.
The following is a DFT calculation (PBE) of LiV2Se4 after structural relaxation.

a b c (Å): 7.4232 7.4232 7.4232
angles (deg): 59.85 59.85 59.85
Fractional coordinates of all 14 atoms:
Li 0.0000 0.0000 0.0000
Li 0.2441 0.2441 0.2441
V 0.0795 0.6227 0.6227
V 0.5795 0.5795 0.5795
V 0.6227 0.0795 0.6227
V 0.6227 0.6227 0.0795
Se 0.3444 0.3444 0.8442
Se 0.3444 0.8442 0.3444
Se 0.3754 0.3754 0.3754
Se 0.3931 0.8281 0.8281
Se 0.8281 0.3931 0.8281
Se 0.8281 0.8281 0.3931
Se 0.8442 0.3444 0.3444
Se 0.8610 0.8610 0.8610

Properties
Excess energy over the best structure of this formula in the dataset: 0.23 eV/f.u.
Final energy: -5.6514 eV/atom
Total magnetic moment: 6.00 Bohr magnetons per cell
ΔE_f (raw): -5.47 eV/f.u.